Record 1
# Th2Al8Si2Au5

An optimized crystal structure of Th2Al8Si2Au5 (PBE, Alexandria).

abc: 18.324 18.324 4.260
angles: 90.00 90.00 166.64
Sites, in units of the cell vectors:
Al1 0.626 0.374 0.000
Al2 0.042 0.958 0.500
Al3 0.958 0.042 0.500
Al4 0.126 0.874 0.500
Al5 0.374 0.626 0.000
Al6 0.874 0.126 0.500
Al7 0.542 0.458 0.000
Al8 0.458 0.542 0.000
Au1 0.584 0.416 0.500
Au2 0.166 0.834 0.000
Au3 0.000 0.000 0.000
Au4 0.416 0.584 0.500
Au5 0.834 0.166 0.000
Th1 0.297 0.703 0.500
Th2 0.703 0.297 0.500
Si1 0.234 0.766 0.000
Si2 0.766 0.234 0.000

Computed properties:
Uncorrected energy = -4.81 eV/atom
ΔE_f (raw) = -578 meV/atom
Calculated density = 8.65 g cm⁻³
D(E_F) = 3.5 states/eV per cell

=====

Record 2
# Pd2PtAu6

An optimized crystal structure of Pd2PtAu6 (PBE, Alexandria).

abc: 7.160 7.444 7.160
angles: 65.54 87.19 65.54
Sites, in units of the cell vectors:
Au1 0.230 0.808 0.991
Au2 0.903 0.142 0.649
Au3 0.097 0.858 0.351
Au4 0.322 0.974 0.569
Au5 0.431 0.526 0.678
Au6 0.351 0.358 0.097
Au7 0.678 0.026 0.431
Au8 0.009 0.692 0.770
Au9 0.991 0.308 0.230
Au10 0.569 0.474 0.322
Au11 0.770 0.192 0.009
Au12 0.649 0.642 0.903
Pd1 0.205 0.417 0.459
Pd2 0.459 0.917 0.205
Pd3 0.795 0.583 0.541
Pd4 0.541 0.083 0.795
Pt1 0.134 0.250 0.866
Pt2 0.866 0.750 0.134

Computed properties:
Uncorrected energy = -3.99 eV/atom
Calculated density = 16.88 g cm⁻³
D(E_F) = 9.5 states/eV per cell
ΔE to the lowest computed polymorph = 18 meV/atom
Formation energy = 0.0202 eV per atom